# BaNa4Tl12 | Alexandria via LeMat-Bulk | PBE | relaxed
data_BaNa4Tl12
_cell_length_a 10.5377
_cell_length_b 10.5377
_cell_length_c 10.5377
_cell_angle_alpha 90.00
_cell_angle_beta 90.00
_cell_angle_gamma 90.00
_space_group_name_H-M_alt 'I m -3'
_space_group_IT_number 204
_space_group_name_Hall '-I 2 2 3'
loop_
_atom_site_label
_atom_site_fract_x
_atom_site_fract_y
_atom_site_fract_z
Ba1 0.0000 0.0000 0.0000
Na1 0.2500 0.2500 0.2500
Tl1 0.0000 0.3535 0.1492
# ΔE_f (meV/atom): 91

---

# MnFe2Ni2 | Alexandria via LeMat-Bulk | PBE | relaxed
data_MnFe2Ni2
_cell_length_a 6.6442
_cell_length_b 6.6442
_cell_length_c 2.4934
_cell_angle_alpha 90.00
_cell_angle_beta 90.00
_cell_angle_gamma 90.00
_space_group_name_H-M_alt 'P 4/m b m'
_space_group_IT_number 127
_space_group_name_Hall '-P 4 2ab'
loop_
_atom_site_label
_atom_site_fract_x
_atom_site_fract_y
_atom_site_fract_z
Mn1 0.0000 0.0000 0.0000
Fe1 0.1731 0.3269 0.5000
Ni1 0.1257 0.6257 0.0000
# ΔE_f (meV/atom): 443

---

# PrSn2Rh3 | Alexandria via LeMat-Bulk | PBE | relaxed
data_PrSn2Rh3
_cell_length_a 17.4789
_cell_length_b 4.2859
_cell_length_c 10.1983
_cell_angle_alpha 90.00
_cell_angle_beta 106.78
_cell_angle_gamma 90.00
_space_group_name_H-M_alt 'C 1 2/m 1'
_space_group_IT_number 12
loop_
_space_group_symop_operation_xyz
'x,y,z'
'-x,-y,-z'
'-x,y,-z'
'x,-y,z'
'x+1/2,y+1/2,z'
'-x+1/2,-y+1/2,-z'
'-x+1/2,y+1/2,-z'
'x+1/2,-y+1/2,z'
loop_
_atom_site_label
_atom_site_fract_x
_atom_site_fract_y
_atom_site_fract_z
Pr1 0.0000 0.0000 0.0000
Pr2 0.1696 0.0000 0.7141
Sn1 0.0377 0.5000 0.7766
Sn2 0.1405 0.5000 0.4570
Sn3 0.1901 0.0000 0.1214
Rh1 0.0000 0.5000 0.5000
Rh2 0.0443 0.0000 0.3398
Rh3 0.1145 0.5000 0.1911
Rh4 0.1790 0.5000 0.9587
Rh5 0.2122 0.0000 0.3904
# ΔE_f (meV/atom): -605

---

# ScSnMo2Rh | Alexandria via LeMat-Bulk | PBE | relaxed
data_ScSnMo2Rh
_cell_length_a 4.9005
_cell_length_b 4.9005
_cell_length_c 5.0899
_cell_angle_alpha 90.00
_cell_angle_beta 90.00
_cell_angle_gamma 90.00
_space_group_name_H-M_alt 'P 4/m m m'
_space_group_IT_number 123
_space_group_name_Hall '-P 4 2'
loop_
_atom_site_label
_atom_site_fract_x
_atom_site_fract_y
_atom_site_fract_z
Sc1 0.0000 0.0000 0.0000
Sn1 0.0000 0.0000 0.5000
Mo1 0.0000 0.5000 0.5000
Rh1 0.5000 0.5000 0.0000
# ΔE_f (meV/atom): 1826

---

# Ag3Hg12S5 | Alexandria via LeMat-Bulk | PBE | relaxed
data_Ag3Hg12S5
_cell_length_a 16.0806
_cell_length_b 16.0806
_cell_length_c 16.0806
_cell_angle_alpha 90.00
_cell_angle_beta 90.00
_cell_angle_gamma 90.00
_space_group_name_H-M_alt 'I a -3 d'
_space_group_IT_number 230
_space_group_name_Hall '-I 4bd 2c 3'
loop_
_atom_site_label
_atom_site_fract_x
_atom_site_fract_y
_atom_site_fract_z
Ag1 0.0000 0.2500 0.1250
Hg1 0.0272 0.0842 0.6522
S1 0.0000 0.0000 0.0000
S2 0.0000 0.2500 0.3750
# Formation energy from raw total energies (eV per atom): 0.06

---

# Rb4MnCu3Br12 | Alexandria via LeMat-Bulk | PBE | relaxed
data_Rb4MnCu3Br12
_cell_length_a 10.4723
_cell_length_b 10.4723
_cell_length_c 10.4723
_cell_angle_alpha 90.00
_cell_angle_beta 90.00
_cell_angle_gamma 90.00
_space_group_name_H-M_alt 'I m -3 m'
_space_group_IT_number 229
_space_group_name_Hall '-I 4 2 3'
loop_
_atom_site_label
_atom_site_fract_x
_atom_site_fract_y
_atom_site_fract_z
Rb1 0.2500 0.2500 0.2500
Mn1 0.0000 0.0000 0.0000
Cu1 0.0000 0.0000 0.5000
Br1 0.0000 0.0000 0.2417
Br2 0.0000 0.2500 0.5000
# Formation energy from raw total energies (eV per atom): -0.95